Below is a geometry-optimized PrTcPb structure, with properties calculated at the PBE level.

The value obtained for the size of the total moment is 1.70 Bohr magnetons per cell. The energy above the lowest structure with this stoichiometry is 0 meV per atom.

Cell and atoms, written as CIF:
```
data_PrTcPb
_space_group_name_H-M_alt 'F -4 3 m'
_space_group_IT_number 216
_space_group_name_Hall 'F -4 2 3'
_cell_length_a 6.924
_cell_length_b 6.924
_cell_length_c 6.924
_cell_angle_alpha 90.00
_cell_angle_beta 90.00
_cell_angle_gamma 90.00
loop_
_atom_site_label
_atom_site_type_symbol
_atom_site_fract_x
_atom_site_fract_y
_atom_site_fract_z
_atom_site_occupancy
Pr1 Pr 0.000 0.000 0.000 1
Tc1 Tc 0.000 0.000 0.500 1
Pb1 Pb 0.250 0.250 0.250 1
```